1.
Computed, not measured: a relaxed structure of Be4TlSb at the GGA-PBE level of DFT.

Geometry as extended XYZ:
```
6
Lattice="0.0000 3.5566 3.5566 3.5566 0.0000 3.5566 3.5566 3.5566 0.0000" Properties=species:S:1:pos:R:3 pbc="T T T"
Be 0.8856 0.8856 0.8856
Be 2.6710 2.6710 0.8856
Be 2.6710 0.8856 2.6710
Be 0.8856 2.6710 2.6710
Tl 3.5566 3.5566 3.5566
Sb 5.3350 5.3350 5.3350
```

formation energy from raw total energies: 678 meV per atom
volume: 15.00 Å³/atom
crystal system: cubic
raw total energy: -2.8878 eV per atom
density of states at the Fermi level: 0.55 states/eV per atom

***

2.
Computed, not measured: a relaxed structure of Be2TlSb at the GGA-PBE level of DFT.

Geometry as extended XYZ:
```
16
Lattice="6.2609 0.0000 0.0000 0.0000 6.2609 0.0000 0.0000 0.0000 9.5010" Properties=species:S:1:pos:R:3 pbc="T T T"
Be 1.3546 1.5652 1.1876
Be 1.5652 4.4850 3.5629
Be 1.5652 4.9063 8.3133
Be 1.7759 1.5652 5.9381
Be 4.4850 4.6957 5.9381
Be 4.6957 1.3546 8.3133
Be 4.6957 1.7759 3.5629
Be 4.9063 4.6957 1.1876
Tl 0.0000 0.0000 4.7505
Tl 0.0000 3.1304 7.1257
Tl 3.1304 0.0000 2.3752
Tl 3.1304 3.1304 0.0000
Sb 0.0000 0.0000 0.0000
Sb 0.0000 3.1304 2.3752
Sb 3.1304 0.0000 7.1257
Sb 3.1304 3.1304 4.7505
```

formation energy from raw total energies: 580 meV per atom
volume: 23.28 Å³/atom
crystal system: tetragonal
raw total energy: -2.9057 eV per atom
density of states at the Fermi level: 0.32 states/eV per atom

***

3.
Computed, not measured: a relaxed structure of Be2TlSb at the GGA-PBE level of DFT.

Geometry as extended XYZ:
```
8
Lattice="4.0703 0.0000 0.0000 0.0000 5.1199 0.0000 0.0000 0.0000 7.5257" Properties=species:S:1:pos:R:3 pbc="T T T"
Be 0.0000 0.0000 0.0000
Be 0.0000 2.5600 3.7628
Be 2.0351 0.0000 0.9815
Be 2.0351 2.5600 4.7443
Tl 2.0351 0.0000 5.6734
Tl 2.0351 2.5600 1.9106
Sb 0.0000 0.0000 2.5589
Sb 0.0000 2.5600 6.3217
```

formation energy from raw total energies: 413 meV per atom
volume: 19.60 Å³/atom
crystal system: orthorhombic
raw total energy: -3.0726 eV per atom
density of states at the Fermi level: 0.26 states/eV per atom

***

- Number 3 is which compound?
  Be2TlSb

***

- The highest formation energy from raw total energies belongs to which entry?
  Be4TlSb